# As2OsSe PBE-GGA relaxed
# Density (g cm⁻³): 10.217
# D(E_F) (states/eV/atom): 0.982
# VASP energy (eV/atom): -5.21
# Crystal system: tetragonal
data_As2OsSe
_space_group_name_H-M_alt 'P 4/m m m'
_space_group_IT_number 123
_space_group_name_Hall '-P 4 2'
_cell_length_a 4.735
_cell_length_b 4.735
_cell_length_c 3.038
_cell_angle_alpha 90.00
_cell_angle_beta 90.00
_cell_angle_gamma 90.00
loop_
_atom_site_label
_atom_site_type_symbol
_atom_site_fract_x
_atom_site_fract_y
_atom_site_fract_z
As1 As 0.000 0.500 0.000
Os1 Os 0.000 0.000 0.500
Se1 Se 0.500 0.500 0.500